1.
Entry from Alexandria: Ca2BN4 after structural relaxation (PBE).

Properties
Its space group is No. 139. As for the formation energy without anion corrections: 26 kJ per mole of atoms. The total energy is -6.0123 eV per atom.

Cell: 4.0268 4.0268 6.0105 Å, 70.43 70.43 90.00°
Last column: nearest neighbours and their distance in Å.
Atoms (fractional coordinates):
N: 0.0000 0.5000 0.0000  2 B 2.01
N: 0.5000 0.0000 0.0000  2 B 2.01
Ca: 0.3635 0.3635 0.2730  5 N 2.45-2.48
B: 0.0000 0.0000 0.0000  2 N 1.40
N: 0.8675 0.8675 0.2650  1 B 1.40
Ca: 0.6365 0.6365 0.7270  5 N 2.45-2.48
N: 0.1325 0.1325 0.7350  1 B 1.40

---

2.
Entry from Alexandria: Ho2GaPb after structural relaxation (PBE).

Properties
Its space group is No. 123. The energy of formation is -0.449 eV/atom. The total energy is -4.4214 eV per atom.

Cell: 4.2305 4.8936 4.8936 Å, 90.00 90.00 90.00°
Last column: nearest neighbours and their distance in Å.
Atoms (fractional coordinates):
Pb: 0.5000 0.5000 0.5000  8 Ho 3.23, 4 Ga 3.46
Ga: 0.5000 0.0000 0.0000  8 Ho 3.23, 4 Pb 3.46
Ho: 0.0000 0.5000 0.0000  4 Ga 3.23, 4 Pb 3.23, 4 Ho 3.46
Ho: 0.0000 0.0000 0.5000  4 Ga 3.23, 4 Pb 3.23, 4 Ho 3.46

---

3.
Entry from Alexandria: Mg3In3Rh after structural relaxation (PBE).

Properties
Its space group is No. 194. The energy of formation is -0.221 eV/atom. The total energy is -3.1278 eV per atom.

Cell: 4.4284 8.8346 8.8346 Å, 120.00 90.00 90.00°
Last column: nearest neighbours and their distance in Å.
Atoms (fractional coordinates):
Mg: 0.2500 0.1154 0.5577  2 Rh 2.77, 4 Mg 2.83-2.89
Mg: 0.2500 0.4423 0.8846  2 Rh 2.77, 4 Mg 2.83-2.89
In: 0.7500 0.1495 0.8505  1 Rh 2.81
In: 0.2500 0.2990 0.1495  1 Rh 2.81
In: 0.7500 0.1495 0.2990  1 Rh 2.81
In: 0.2500 0.8505 0.1495  1 Rh 2.81
Rh: 0.7500 0.3333 0.6667  6 Mg 2.77, 3 In 2.81
In: 0.7500 0.7010 0.8505  1 Rh 2.81
Mg: 0.2500 0.4423 0.5577  2 Rh 2.77, 4 Mg 2.83-2.89
In: 0.2500 0.8505 0.7010  1 Rh 2.81
Mg: 0.7500 0.8846 0.4423  2 Rh 2.77, 4 Mg 2.83-2.89
Mg: 0.7500 0.5577 0.1154  2 Rh 2.77, 4 Mg 2.83-2.89
Rh: 0.2500 0.6667 0.3333  6 Mg 2.77, 3 In 2.81
Mg: 0.7500 0.5577 0.4423  2 Rh 2.77, 4 Mg 2.83-2.89